This record from Alexandria describes crystalline CaTaBr4 at its relaxed geometry. The functional is PBE.

a b c (Å): 6.309 6.309 6.309
angles (deg): 60.00 60.00 60.00
Positions (direct):
Ta 0.000 0.000 0.000
Br 0.375 0.876 0.375
Ca 0.750 0.750 0.750
Br 0.876 0.375 0.375
Br 0.375 0.375 0.375
Br 0.375 0.375 0.876

## Properties
- Formation energy (no corrections): 0.651 eV/atom
- Symmetry: F-43m

This record from Alexandria describes crystalline FeP2 at its relaxed geometry. The functional is PBE.

a b c (Å): 6.493 6.493 2.946
angles (deg): 90.00 90.00 120.00
Positions (direct):
Fe 0.333 0.667 0.000
P 0.412 0.412 0.500
P 0.283 0.000 0.000
P 0.000 0.588 0.500
Fe 0.667 0.333 0.000
P 0.588 0.000 0.500
P 0.000 0.283 0.000
P 0.717 0.717 0.000
Fe 0.000 0.000 0.500

## Properties
- Formation energy: -0.0369 eV per atom
- Symmetry: P-62m

This record from Alexandria describes crystalline CrIn3 at its relaxed geometry. The functional is PBE.

a b c (Å): 5.429 6.197 6.196
angles (deg): 120.01 90.00 90.00
Positions (direct):
In 0.750 0.831 0.661
In 0.250 0.170 0.830
Cr 0.750 0.333 0.667
In 0.750 0.339 0.170
In 0.250 0.661 0.830
In 0.750 0.830 0.170
Cr 0.250 0.667 0.333
In 0.250 0.169 0.339

## Properties
- Formation energy: 0.3027 eV per atom
- Symmetry: P6_3/mmc

This record from Alexandria describes crystalline Dy5Co2Hg2 at its relaxed geometry. The functional is PBE.

a b c (Å): 7.273 7.386 8.830
angles (deg): 90.00 65.68 90.00
Positions (direct):
Dy 0.802 0.819 0.758
Dy 0.500 0.500 0.000
Hg 0.780 0.000 0.441
Dy 0.302 0.681 0.758
Dy 0.000 0.000 0.000
Co 0.109 0.388 0.000
Dy 0.560 0.819 0.242
Hg 0.720 0.500 0.559
Co 0.391 0.888 0.000
Co 0.891 0.612 0.000
Dy 0.940 0.319 0.758
Hg 0.280 0.500 0.441
Dy 0.440 0.181 0.758
Dy 0.698 0.319 0.242
Co 0.609 0.112 0.000
Dy 0.198 0.181 0.242
Dy 0.060 0.681 0.242
Hg 0.220 0.000 0.559

## Properties
- Formation energy: -0.3197 eV per atom
- Symmetry: Cmce

This record from Alexandria describes crystalline CuH2PtI at its relaxed geometry. The functional is PBE.

a b c (Å): 3.698 6.248 3.698
angles (deg): 90.00 90.00 90.00
Positions (direct):
H 0.500 0.000 0.000
H 0.000 0.000 0.500
Pt 0.500 0.500 0.500
Cu 0.000 0.000 0.000
I 0.000 0.500 0.000

## Properties
- Symmetry: P4/mmm

This record from Alexandria describes crystalline Sm6Hg2C at its relaxed geometry. The functional is PBE.

a b c (Å): 7.030 7.188 10.102
angles (deg): 90.00 90.09 90.00
Positions (direct):
Sm 0.725 0.215 0.545
Hg 0.480 0.039 0.249
Sm 0.212 0.273 0.457
C 0.500 0.500 0.000
C 0.000 0.000 0.500
Sm 0.225 0.285 0.045
Hg 0.980 0.461 0.749
Sm 0.589 0.485 0.242
Hg 0.020 0.539 0.251
Sm 0.288 0.773 0.043
Sm 0.788 0.727 0.543
Hg 0.520 0.961 0.751
Sm 0.411 0.515 0.758
Sm 0.275 0.785 0.455
Sm 0.089 0.015 0.742
Sm 0.775 0.715 0.955
Sm 0.712 0.227 0.957
Sm 0.911 0.985 0.258

## Properties
- Formation energy: -0.2849 eV per atom
- Symmetry: P2_1/c

no.,total magnetization (μB per formula unit),E_tot (eV per atom)
1,5.042,-2.773
2,0.639,-6.464
3,3.573,-4.157
4,0.000,-4.523
5,0.000,-3.050
6,0.000,-4.523